5
Lattice="-0.143 -1.417 4.746 4.642 -1.074 -0.181 1.123 4.615 1.412" Properties=species:S:1:pos:R:3 comment="MgNi2BrO PBE+U relaxed" volume_a3_per_atom=23.42 energy_ev_per_atom=-1.526 pbc="T T T"
Ni 0.561 2.308 0.706
Ni -0.072 -0.708 2.373
O 2.811 1.062 2.988
Mg 0.000 0.000 0.000
Br 2.321 -0.537 -0.090